VASP calculation (PBE-GGA) on Ac5Tl2CoBr after structural relaxation.

Summary:
space-group type	Cmc2_1, No. 36
calculated volume	34.4	A^3/atom
crystal system	orthorhombic
electronic total energy	-38.2	eV per formula unit

Lattice parameters (Å, degrees): 9.967 9.967 12.321 90.00 90.00 149.62
Fractional coordinates of all 18 atoms:
Ac 0.001 0.999 0.500
Ac 0.120 0.880 0.752
Ac 0.188 0.812 0.095
Ac 0.189 0.811 0.409
Ac 0.457 0.543 0.750
Ac 0.543 0.457 0.250
Ac 0.811 0.189 0.909
Ac 0.812 0.188 0.595
Ac 0.880 0.120 0.252
Ac 0.999 0.001 0.000
Tl 0.380 0.620 0.064
Tl 0.381 0.619 0.440
Tl 0.619 0.381 0.940
Tl 0.620 0.380 0.564
Co 0.060 0.940 0.255
Co 0.940 0.060 0.755
Br 0.284 0.716 0.752
Br 0.716 0.284 0.252